Below is a geometry-optimized NpTlNiCl6 structure, with properties calculated at the PBE level.

Cell lengths 6.658, 6.658, 14.454 Å; angles 90.00, 90.00, 120.00 degrees
Positions (direct):
Np 0.333 0.667 0.250
Np 0.667 0.333 0.750
Tl 0.000 0.000 0.000
Tl 0.000 0.000 0.500
Ni 0.333 0.667 0.750
Ni 0.667 0.333 0.250
Cl 0.023 0.377 0.648
Cl 0.023 0.647 0.852
Cl 0.353 0.377 0.852
Cl 0.353 0.977 0.648
Cl 0.377 0.023 0.148
Cl 0.377 0.353 0.352
Cl 0.623 0.647 0.648
Cl 0.623 0.977 0.852
Cl 0.647 0.023 0.352
Cl 0.647 0.623 0.148
Cl 0.977 0.353 0.148
Cl 0.977 0.623 0.352

Output
density = 4.3 Mg/m³
formation energy from raw total energies = -1.19 eV per atom
symmetry = P-31c, No. 163
VASP energy = -4.7620 eV per atom

---

Below is a geometry-optimized Cr2CoBr structure, with properties calculated at the PBE level.

Cell lengths 6.034, 6.034, 6.034 Å; angles 90.00, 90.00, 90.00 degrees
Positions (direct):
Cr 0.000 0.000 0.000
Cr 0.000 0.500 0.500
Cr 0.250 0.250 0.250
Cr 0.250 0.750 0.750
Cr 0.500 0.000 0.500
Cr 0.500 0.500 0.000
Cr 0.750 0.250 0.750
Cr 0.750 0.750 0.250
Co 0.000 0.000 0.500
Co 0.000 0.500 0.000
Co 0.500 0.000 0.000
Co 0.500 0.500 0.500
Br 0.250 0.250 0.750
Br 0.250 0.750 0.250
Br 0.750 0.250 0.250
Br 0.750 0.750 0.750

Output
density = 7.3 Mg/m³
formation energy from raw total energies = 0.92 eV per atom
symmetry = F-43m, No. 216
VASP energy = -6.0877 eV per atom

---

Below is a geometry-optimized RbIn2AgAu4 structure, with properties calculated at the PBE level.

Cell lengths 10.866, 10.866, 10.866 Å; angles 25.02, 25.02, 25.02 degrees
Positions (direct):
Rb 0.000 0.000 0.000
In 0.235 0.235 0.235
In 0.765 0.765 0.765
Ag 0.500 0.500 0.500
Au 0.140 0.140 0.140
Au 0.410 0.410 0.410
Au 0.590 0.590 0.590
Au 0.860 0.860 0.860

Output
formation energy from the elements = -140 meV per atom
density = 10.0 Mg/m³
symmetry = R-3m, No. 166
VASP energy = -2.9403 eV per atom